(1)
Compound: Li5Br4
Source: the Alexandria database
Functional: PBEsol
Structure: relaxed

Properties
Magnetization   1.008 μB/f.u.
ΔE_f (raw)   -113.25 kJ per mole of atoms
Symmetry   I4/mmm
Uncorrected energy   -3.0975 eV/atom

Cell: 7.4423 7.4423 7.4423 Å, 93.77 93.77 150.29°
Closest atoms and distances in Å follow each position.
Fractional positions:
Li 0.0000 0.0000 0.0000  4 Br 2.62, 8 Li 2.84
Li 0.3540 0.3540 0.7081  4 Br 2.67, 4 Li 2.84-2.97
Li 0.3540 0.6460 0.0000  4 Br 2.67, 4 Li 2.84-2.97
Li 0.6460 0.3540 0.0000  4 Br 2.67, 4 Li 2.84-2.97
Li 0.6460 0.6460 0.2919  4 Br 2.67, 4 Li 2.84-2.97
Br 0.0000 0.2571 0.2571  5 Li 2.62-2.67
Br 0.0000 0.7429 0.7429  5 Li 2.62-2.67
Br 0.2571 0.0000 0.2571  5 Li 2.62-2.67
Br 0.7429 0.0000 0.7429  5 Li 2.62-2.67

=====

(2)
Compound: LiBr
Source: the Alexandria database
Functional: PBEsol
Structure: relaxed

Properties
Magnetization   0.000 μB/f.u.
ΔE_f (raw)   -148.09 kJ per mole of atoms
Symmetry   P6_3mc
Uncorrected energy   -3.4532 eV/atom

Cell: 4.1437 4.1437 6.5689 Å, 90.00 90.00 120.00°
Closest atoms and distances in Å follow each position.
Fractional positions:
Li 0.3333 0.6667 0.0000  4 Br 2.51-2.52
Li 0.6667 0.3333 0.5000  4 Br 2.51-2.52
Br 0.3333 0.6667 0.3840  4 Li 2.51-2.52
Br 0.6667 0.3333 0.8840  4 Li 2.51-2.52

=====

(3)
Compound: LiBr8
Source: the Alexandria database
Functional: PBEsol
Structure: relaxed

Properties
Magnetization   0.000 μB/f.u.
ΔE_f (raw)   -1.34 kJ per mole of atoms
Symmetry   I4/mmm
Uncorrected energy   -1.8946 eV/atom

Cell: 8.8254 8.8254 8.8254 Å, 93.36 93.36 151.98°
Closest atoms and distances in Å follow each position.
Fractional positions:
Li 0.0000 0.0000 0.0000  4 Br 2.60
Br 0.0000 0.2150 0.2150  1 Li 2.60
Br 0.0000 0.7850 0.7850  1 Li 2.60
Br 0.2150 0.0000 0.2150  1 Li 2.60
Br 0.3481 0.3481 0.6961  4 Br 2.92
Br 0.3481 0.6519 0.0000  4 Br 2.92
Br 0.6519 0.3481 0.0000  4 Br 2.92
Br 0.6519 0.6519 0.3039  4 Br 2.92
Br 0.7850 0.0000 0.7850  1 Li 2.60

=====

(4)
Compound: LiBr
Source: the Alexandria database
Functional: PBEsol
Structure: relaxed

Properties
Magnetization   0.000 μB/f.u.
ΔE_f (raw)   -74.88 kJ per mole of atoms
Symmetry   Fd-3m
Uncorrected energy   -2.6945 eV/atom

Cell: 5.1136 5.1136 5.1136 Å, 60.00 60.00 60.00°
Closest atoms and distances in Å follow each position.
Fractional positions:
Li 0.1250 0.1250 0.1250  4 Li 3.13, 4 Br 3.13
Li 0.8750 0.8750 0.8750  4 Li 3.13, 4 Br 3.13
Br 0.3750 0.3750 0.3750  4 Br 3.13, 4 Li 3.13
Br 0.6250 0.6250 0.6250  4 Li 3.13, 4 Br 3.13

=====

(5)
Compound: LiBr
Source: the Alexandria database
Functional: PBEsol
Structure: relaxed

Properties
Magnetization   0.000 μB/f.u.
ΔE_f (raw)   -149.55 kJ per mole of atoms
Symmetry   Fm-3m
Uncorrected energy   -3.4683 eV/atom

Cell: 3.8227 3.8227 3.8227 Å, 60.00 60.00 60.00°
Closest atoms and distances in Å follow each position.
Fractional positions:
Li 0.0000 0.0000 0.0000  6 Br 2.70
Br 0.5000 0.5000 0.5000  6 Li 2.70

=====

(6)
Compound: LiBr2
Source: the Alexandria database
Functional: PBEsol
Structure: relaxed

Properties
Magnetization   0.468 μB/f.u.
ΔE_f (raw)   -68.01 kJ per mole of atoms
Symmetry   I4/mmm
Uncorrected energy   -2.6072 eV/atom

Cell: 5.9196 5.9196 5.9196 Å, 144.48 144.48 51.11°
Closest atoms and distances in Å follow each position.
Fractional positions:
Li 0.0000 0.0000 0.0000  8 Br 2.92
Br 0.3677 0.3677 0.0000  1 Br 2.83, 4 Li 2.92
Br 0.6323 0.6323 0.0000  1 Br 2.83, 4 Li 2.92

=====

(7)
Compound: LiBr
Source: the Alexandria database
Functional: PBEsol
Structure: relaxed

Properties
Magnetization   0.000 μB/f.u.
ΔE_f (raw)   -139.37 kJ per mole of atoms
Symmetry   P-6m2
Uncorrected energy   -3.3628 eV/atom

Cell: 3.7331 3.7331 3.4764 Å, 90.00 90.00 120.00°
Closest atoms and distances in Å follow each position.
Fractional positions:
Li 0.0000 0.0000 0.0000  6 Br 2.77
Br 0.6667 0.3333 0.5000  6 Li 2.77

=====

(8)
Compound: LiBr
Source: the Alexandria database
Functional: PBEsol
Structure: relaxed

Properties
Magnetization   0.000 μB/f.u.
ΔE_f (raw)   -147.76 kJ per mole of atoms
Symmetry   F-43m
Uncorrected energy   -3.4498 eV/atom

Cell: 4.1020 4.1020 4.1020 Å, 60.00 60.00 60.00°
Closest atoms and distances in Å follow each position.
Fractional positions:
Li 0.0000 0.0000 0.0000  4 Br 2.51
Br 0.7500 0.7500 0.7500  4 Li 2.51

=====

(9)
Compound: LiBr
Source: the Alexandria database
Functional: PBEsol
Structure: relaxed

Properties
Magnetization   0.000 μB/f.u.
ΔE_f (raw)   -144.00 kJ per mole of atoms
Symmetry   P4/nmm
Uncorrected energy   -3.4108 eV/atom

Cell: 4.5973 4.5973 4.3078 Å, 90.00 90.00 90.00°
Closest atoms and distances in Å follow each position.
Fractional positions:
Li 0.2500 0.7500 0.0000  4 Br 2.55
Li 0.7500 0.2500 0.0000  4 Br 2.55
Br 0.2500 0.2500 0.2541  4 Li 2.55
Br 0.7500 0.7500 0.7459  4 Li 2.55

=====

(10)
Compound: LiBr2
Source: the Alexandria database
Functional: PBEsol
Structure: relaxed

Properties
Magnetization   0.000 μB/f.u.
ΔE_f (raw)   -92.77 kJ per mole of atoms
Symmetry   Cmcm
Uncorrected energy   -2.8637 eV/atom

Cell: 8.3327 8.3327 4.8312 Å, 90.00 90.00 150.34°
Closest atoms and distances in Å follow each position.
Fractional positions:
Li 0.2331 0.7669 0.7500  4 Br 2.53-2.55
Li 0.7669 0.2331 0.2500  4 Br 2.53-2.55
Br 0.1822 0.8178 0.2500  4 Li 2.53-2.55
Br 0.4773 0.5227 0.2500  2 Br 2.52
Br 0.5227 0.4773 0.7500  2 Br 2.52
Br 0.8178 0.1822 0.7500  4 Li 2.53-2.55

=====

(11)
Compound: LiBr
Source: the Alexandria database
Functional: PBEsol
Structure: relaxed

Properties
Magnetization   0.000 μB/f.u.
ΔE_f (raw)   -147.13 kJ per mole of atoms
Symmetry   P-3m1
Uncorrected energy   -3.4432 eV/atom

Cell: 4.4176 4.4176 5.5426 Å, 90.00 90.00 120.00°
Closest atoms and distances in Å follow each position.
Fractional positions:
Li 0.3333 0.6667 0.2512  5 Br 2.55-2.78
Li 0.6667 0.3333 0.7488  5 Br 2.55-2.78
Br 0.3333 0.6667 0.7501  5 Li 2.55-2.78
Br 0.6667 0.3333 0.2499  5 Li 2.55-2.78

=====

(12)
Compound: LiBr
Source: the Alexandria database
Functional: PBEsol
Structure: relaxed

Properties
Magnetization   0.000 μB/f.u.
ΔE_f (raw)   -149.04 kJ per mole of atoms
Symmetry   Cm
Uncorrected energy   -3.4631 eV/atom

Cell: 3.7990 3.7990 9.7228 Å, 101.23 101.23 59.97°
Closest atoms and distances in Å follow each position.
Fractional positions:
Li 0.0000 0.0000 0.0000  6 Br 2.69-2.71
Li 0.1103 0.1103 0.3354  6 Br 2.70-2.71
Li 0.2238 0.2238 0.6709  6 Br 2.69-2.72
Br 0.3887 0.3887 0.1683  6 Li 2.70-2.71
Br 0.6119 0.6119 0.8355  6 Li 2.69
Br 0.8333 0.8333 0.5027  6 Li 2.70-2.72

=====

- magnetization of number 12 (LiBr)?
  0.000 μB/f.u.

=====

Please write out number 8 again, unchanged.
Compound: LiBr
Source: the Alexandria database
Functional: PBEsol
Structure: relaxed

Properties
Magnetization   0.000 μB/f.u.
ΔE_f (raw)   -147.76 kJ per mole of atoms
Symmetry   F-43m
Uncorrected energy   -3.4498 eV/atom

Cell: 4.1020 4.1020 4.1020 Å, 60.00 60.00 60.00°
Closest atoms and distances in Å follow each position.
Fractional positions:
Li 0.0000 0.0000 0.0000  4 Br 2.51
Br 0.7500 0.7500 0.7500  4 Li 2.51

=====

- Look up the uncorrected energy of the first one.
  -3.0975 eV/atom